Material: Ni2S3O12
Method: DFT, PBE+U
State: optimized geometry

```
data_Ni2S3O12
_cell_length_a 8.372
_cell_length_b 8.663
_cell_length_c 14.441
_cell_angle_alpha 90.00
_cell_angle_beta 124.45
_cell_angle_gamma 90.00
_symmetry_space_group_name_H-M 'P 1 21/c 1'
_symmetry_Int_Tables_number 14
loop_
_symmetry_equiv_pos_as_xyz
'x,y,z'
'-x,-y,-z'
'-x,y+1/2,-z+1/2'
'x,-y+1/2,z+1/2'
loop_
_atom_site_label
_atom_site_type_symbol
_atom_site_fract_x
_atom_site_fract_y
_atom_site_fract_z
_atom_site_occupancy
Ni1 Ni 0.135 0.031 0.386 1
Ni2 Ni 0.365 0.034 0.113 1
S1 S 0.039 0.613 0.647 1
S2 S 0.259 0.115 0.652 1
S3 S 0.453 0.750 0.493 1
O1 O 0.022 0.732 0.184 1
O2 O 0.122 0.504 0.742 1
O3 O 0.130 0.075 0.688 1
O4 O 0.155 0.057 0.945 1
O5 O 0.161 0.080 0.532 1
O6 O 0.170 0.622 0.608 1
O7 O 0.259 0.683 0.946 1
O8 O 0.294 0.216 0.172 1
O9 O 0.398 0.129 0.448 1
O10 O 0.442 0.027 0.719 1
O11 O 0.454 0.683 0.399 1
O12 O 0.494 0.632 0.578 1
```

E in eV/atom: -5.65
M_tot in μB/f.u.: 1.90
Offset from the most stable computed form in eV per atom: 0.0073
D(E_F) in states/eV per cell: 46.361